Record 1
This record from Alexandria describes a relaxed structure of Mg6TiSn. The functional is PBE.

Total DFT energy (no corrections): -2.672 eV/atom

a b c (Å): 6.333 6.333 4.981
angles (deg): 90.00 90.00 119.79
Each line ends with the local moment (μB).
Sites, in units of the cell vectors:
Mg 0.171 0.336 0.000  0.00
Mg 0.335 0.178 0.500  0.00
Mg 0.822 0.665 0.500  0.00
Mg 0.664 0.829 0.000  0.00
Mg 0.834 0.166 0.500  0.00
Mg 0.669 0.331 0.000  0.00
Sn 0.176 0.824 0.000  -0.02
Ti 0.329 0.671 0.500  0.69

Record 2
This record from Alexandria describes a relaxed structure of DyTmLuCd. The functional is PBE.

Total DFT energy (no corrections): -3.654 eV/atom

a b c (Å): 5.381 5.381 5.381
angles (deg): 60.00 60.00 60.00
Sites, in units of the cell vectors:
Tm 0.000 0.000 0.000
Cd 0.750 0.750 0.750
Lu 0.250 0.250 0.250
Dy 0.500 0.500 0.500

Record 3
This record from Alexandria describes a relaxed structure of SrMgSb2Te. The functional is PBE.

Formation energy from raw total energies: -1.2 eV/f.u.

a b c (Å): 5.385 5.385 5.764
angles (deg): 90.00 90.00 90.00
Sites, in units of the cell vectors:
Sb 0.000 0.500 0.000
Te 0.000 0.000 0.500
Sr 0.500 0.500 0.500
Sb 0.500 0.000 0.000
Mg 0.000 0.000 0.000

Record 4
This record from Alexandria describes a relaxed structure of Pm2HoErS6. The functional is PBE.

Formation energy from raw total energies: -20.4 eV/f.u.

a b c (Å): 7.002 7.002 7.387
angles (deg): 61.71 61.71 59.99
Sites, in units of the cell vectors:
Ho 0.817 0.817 0.550
S 0.934 0.606 0.257
Pm 0.521 0.521 0.436
S 0.606 0.203 0.257
S 0.203 0.934 0.257
Er 0.317 0.317 0.049
Pm 0.021 0.021 0.937
S 0.107 0.433 0.757
S 0.433 0.702 0.757
S 0.702 0.107 0.757

Record 5
This record from Alexandria describes a relaxed structure of GaSi3Ni12. The functional is PBE.

Formation energy from raw total energies: -6.6 eV/f.u.

a b c (Å): 3.523 3.523 14.104
angles (deg): 90.00 90.00 90.00
Sites, in units of the cell vectors:
Ni 0.500 0.000 0.131
Si 0.000 0.000 0.500
Ni 0.500 0.000 0.869
Ga 0.000 0.000 0.000
Ni 0.000 0.500 0.377
Ni 0.000 0.500 0.131
Ni 0.500 0.000 0.377
Ni 0.500 0.500 0.254
Ni 0.000 0.500 0.869
Ni 0.000 0.500 0.623
Ni 0.500 0.500 0.500
Ni 0.500 0.500 0.000
Ni 0.500 0.500 0.746
Si 0.000 0.000 0.749
Si 0.000 0.000 0.251
Ni 0.500 0.000 0.623

Record 6
This record from Alexandria describes a relaxed structure of ErHO2. The functional is PBE.

Total DFT energy (no corrections): -7.147 eV/atom

a b c (Å): 3.619 4.298 6.080
angles (deg): 67.31 90.00 90.00
Sites, in units of the cell vectors:
O 0.250 0.313 0.438
H 0.750 0.904 0.577
O 0.750 0.687 0.562
H 0.250 0.096 0.423
Er 0.250 0.355 0.812
Er 0.750 0.645 0.188
O 0.250 0.785 0.949
O 0.750 0.215 0.051

Record 7
This record from Alexandria describes a relaxed structure of CaGe3N. The functional is PBE.

Formation energy from raw total energies: 1.8 eV/f.u.

a b c (Å): 4.535 4.535 4.535
angles (deg): 90.00 90.00 90.00
Sites, in units of the cell vectors:
Ge 0.000 0.000 0.500
N 0.000 0.000 0.000
Ca 0.500 0.500 0.500
Ge 0.500 0.000 0.000
Ge 0.000 0.500 0.000

Record 8
This record from Alexandria describes a relaxed structure of K2BaNi. The functional is PBE.

Total DFT energy (no corrections): -2.216 eV/atom

a b c (Å): 4.525 4.525 11.842
angles (deg): 78.74 78.74 60.18
Sites, in units of the cell vectors:
K 0.996 0.996 0.010
Ba 0.216 0.216 0.353
K 0.780 0.780 0.658
Ni 0.507 0.507 0.479